Entry 1:
LaCdNi2 at its PBEsol-relaxed geometry. Source: Alexandria via LeMat-Bulk, functional meta-GGA SCAN.

Total moment (μB/cell): 0.00
E_form (eV per formula unit): -0.80
DFT total energy (eV/cell): -106.664
Calculated volume (Å³/atom): 18.14
Density of states at the Fermi level (states/eV per cell): 2.4

a b c (Å): 3.8406 3.8664 5.2497
angles (deg): 90.00 111.46 90.00
Last column: nearest neighbours and their distance in Å.
Fractional positions:
Ni  0.0484  0.5000  0.0968  2 Ni 2.40, 1 La 2.68
Ni  0.1942  0.0000  0.3885  2 Ni 2.40
La  0.7744  0.5000  0.5489  7 Ni 2.68-2.93
Cd  0.4844  0.0000  0.9689  7 Ni 2.80-2.84



Entry 2:
La3CdNi at its PBEsol-relaxed geometry. Source: Alexandria via LeMat-Bulk, functional meta-GGA SCAN.

Total moment (μB/cell): 0.00
E_form (eV per formula unit): -0.92
DFT total energy (eV/cell): -176.826
Calculated volume (Å³/atom): 30.44
Density of states at the Fermi level (states/eV per cell): 6.8

a b c (Å): 5.3391 5.3391 5.3391
angles (deg): 90.00 90.00 90.00
Last column: nearest neighbours and their distance in Å.
Fractional positions:
La  0.0000  0.0000  0.5000  2 Ni 2.67
La  0.0000  0.5000  0.0000  2 Ni 2.67
La  0.5000  0.0000  0.0000  2 Ni 2.67
Cd  0.5000  0.5000  0.5000  12 La 3.78
Ni  0.0000  0.0000  0.0000  6 La 2.67



Entry 3:
LaCdNi3 at its PBEsol-relaxed geometry. Source: Alexandria via LeMat-Bulk, functional meta-GGA SCAN.

Total moment (μB/cell): 0.00
E_form (eV per formula unit): 6.06
DFT total energy (eV/cell): -115.983
Calculated volume (Å³/atom): 20.23
Density of states at the Fermi level (states/eV per cell): 2.9

a b c (Å): 4.6595 4.6595 4.6595
angles (deg): 90.00 90.00 90.00
Last column: nearest neighbours and their distance in Å.
Fractional positions:
Ni  0.0000  0.5000  0.0000  2 La 2.33
Ni  0.5000  0.0000  0.0000  2 La 2.33
Ni  0.0000  0.0000  0.5000  2 La 2.33
La  0.0000  0.0000  0.0000  6 Ni 2.33
Cd  0.5000  0.5000  0.5000  12 Ni 3.29



Entry 4:
La2CdReNi at its PBEsol-relaxed geometry. Source: Alexandria via LeMat-Bulk, functional meta-GGA SCAN.

Total moment (μB/cell): 2.13
E_form (eV per formula unit): 7.28
DFT total energy (eV/cell): -196.614
Calculated volume (Å³/atom): 31.39
Density of states at the Fermi level (states/eV per cell): 6.0

a b c (Å): 4.8544 5.6864 5.6864
angles (deg): 90.00 90.00 90.00
Last column: nearest neighbours and their distance in Å.
Fractional positions:
Ni  0.5000  0.5000  0.5000  8 La 3.74, 4 Re 4.02
La  0.0000  0.0000  0.5000  2 Cd 2.84
La  0.0000  0.5000  0.0000  2 Cd 2.84
Cd  0.0000  0.0000  0.0000  2 Re 2.43
Re  0.5000  0.0000  0.0000  2 Cd 2.43



Entry 5:
La2CdO2 at its PBEsol-relaxed geometry. Source: Alexandria via LeMat-Bulk, functional meta-GGA SCAN.

Total moment (μB/cell): 0.22
DFT total energy (eV/cell): -142.256
Calculated volume (Å³/atom): 22.07
Density of states at the Fermi level (states/eV per cell): 2.2

a b c (Å): 4.1351 4.1351 7.0844
angles (deg): 106.97 106.97 90.00
Last column: nearest neighbours and their distance in Å.
Fractional positions:
O  0.7500  0.2500  0.5000  4 La 2.37
O  0.2500  0.7500  0.5000  4 La 2.37
La  0.3393  0.3393  0.6786  4 O 2.37
La  0.6607  0.6607  0.3214  4 O 2.37
Cd  0.0000  0.0000  0.0000  8 La 3.58, 8 O 3.83



Entry 6:
La2Cd2O5 at its PBEsol-relaxed geometry. Source: Alexandria via LeMat-Bulk, functional meta-GGA SCAN.

Total moment (μB/cell): 0.00
DFT total energy (eV/cell): -804.264
Calculated volume (Å³/atom): 15.94
Density of states at the Fermi level (states/eV per cell): 0.0

a b c (Å): 5.9094 6.1480 15.7946
angles (deg): 90.00 90.00 90.00
Last column: nearest neighbours and their distance in Å.
Fractional positions:
O  0.6188  0.0648  0.2500  2 Cd 2.22-2.27, 2 La 2.42
O  0.1284  0.0617  0.1402  2 Cd 2.16-2.37, 2 La 2.33-2.39
O  0.6764  0.1797  0.0310  2 Cd 2.26-2.28, 1 La 2.32
O  0.3812  0.9352  0.7500  2 Cd 2.22-2.27, 2 La 2.42
O  0.8716  0.9383  0.8598  2 Cd 2.16-2.37, 2 La 2.33-2.39
O  0.8812  0.5648  0.2500  2 Cd 2.22-2.27, 2 La 2.42
O  0.1188  0.4352  0.7500  2 Cd 2.22-2.27, 2 La 2.42
O  0.3716  0.5617  0.3598  2 Cd 2.16-2.37, 2 La 2.33-2.39
O  0.6284  0.4383  0.6402  2 Cd 2.16-2.37, 2 La 2.33-2.39
O  0.3236  0.8203  0.9690  2 Cd 2.26-2.28, 1 La 2.32
O  0.1764  0.3203  0.5310  2 Cd 2.26-2.28, 1 La 2.32
O  0.1764  0.3203  0.9690  2 Cd 2.26-2.28, 1 La 2.32
O  0.1284  0.0617  0.3598  2 Cd 2.16-2.37, 2 La 2.33-2.39
O  0.8236  0.6797  0.4690  2 Cd 2.26-2.28, 1 La 2.32
O  0.6284  0.4383  0.8598  2 Cd 2.16-2.37, 2 La 2.33-2.39
O  0.3716  0.5617  0.1402  2 Cd 2.16-2.37, 2 La 2.33-2.39
O  0.3236  0.8203  0.5310  2 Cd 2.26-2.28, 1 La 2.32
O  0.8236  0.6797  0.0310  2 Cd 2.26-2.28, 1 La 2.32
O  0.8716  0.9383  0.6402  2 Cd 2.16-2.37, 2 La 2.33-2.39
O  0.6764  0.1797  0.4690  2 Cd 2.26-2.28, 1 La 2.32
La  0.5093  0.0723  0.6149  5 O 2.32-2.59
La  0.5093  0.0723  0.8851  5 O 2.32-2.59
La  0.9907  0.5723  0.6149  5 O 2.32-2.59
La  0.0093  0.4277  0.3851  5 O 2.32-2.59
La  0.9907  0.5723  0.8851  5 O 2.32-2.59
La  0.0093  0.4277  0.1149  5 O 2.32-2.59
La  0.4907  0.9277  0.1149  5 O 2.32-2.59
La  0.4907  0.9277  0.3851  5 O 2.32-2.59
Cd  0.5000  0.5000  0.5000  6 O 2.26-2.37
Cd  0.0000  0.0000  0.5000  6 O 2.26-2.37
Cd  0.5000  0.5000  0.0000  6 O 2.26-2.37
Cd  0.0000  0.0000  0.0000  6 O 2.26-2.37
Cd  0.5294  0.4154  0.2500  4 O 2.16-2.27
Cd  0.9706  0.9154  0.2500  4 O 2.16-2.27
Cd  0.0294  0.0846  0.7500  4 O 2.16-2.27
Cd  0.4706  0.5846  0.7500  4 O 2.16-2.27



Entry 7:
LaCdPO2 at its PBEsol-relaxed geometry. Source: Alexandria via LeMat-Bulk, functional meta-GGA SCAN.

Total moment (μB/cell): 0.00
DFT total energy (eV/cell): -101.177
Calculated volume (Å³/atom): 17.23
Density of states at the Fermi level (states/eV per cell): 3.7

a b c (Å): 4.2614 4.2614 4.7440
angles (deg): 90.00 90.00 90.00
Last column: nearest neighbours and their distance in Å.
Fractional positions:
Cd  0.0000  0.0000  0.0000  4 O 2.13, 2 P 2.37
O  0.0000  0.5000  0.0000  2 Cd 2.13
O  0.5000  0.0000  0.0000  2 Cd 2.13
P  0.0000  0.0000  0.5000  2 Cd 2.37
La  0.5000  0.5000  0.5000  4 P 3.01, 8 O 3.19



Entry 8:
LaCdOs at its PBEsol-relaxed geometry. Source: Alexandria via LeMat-Bulk, functional meta-GGA SCAN.

Total moment (μB/cell): 0.80
E_form (eV per formula unit): 0.68
DFT total energy (eV/cell): -144.721
Calculated volume (Å³/atom): 24.38
Density of states at the Fermi level (states/eV per cell): 2.2

a b c (Å): 4.6942 4.6942 4.6942
angles (deg): 60.00 60.00 60.00
Last column: nearest neighbours and their distance in Å.
Fractional positions:
La  0.5000  0.5000  0.5000  4 Os 2.87
Cd  0.0000  0.0000  0.0000  4 Os 2.87
Os  0.2500  0.2500  0.2500  4 Cd 2.87, 4 La 2.87



Entry 9:
LaCdOsPb2 at its PBEsol-relaxed geometry. Source: Alexandria via LeMat-Bulk, functional meta-GGA SCAN.

Total moment (μB/cell): 3.30
E_form (eV per formula unit): 9.85
DFT total energy (eV/cell): -287.109
Calculated volume (Å³/atom): 39.24
Density of states at the Fermi level (states/eV per cell): 5.0

a b c (Å): 5.6740 5.8803 5.8803
angles (deg): 90.00 90.00 90.00
Last column: nearest neighbours and their distance in Å.
Fractional positions:
Pb  0.0000  0.5000  0.0000  2 La 2.94
Pb  0.0000  0.0000  0.5000  2 La 2.94
Cd  0.5000  0.0000  0.0000  2 La 2.84
La  0.0000  0.0000  0.0000  2 Cd 2.84, 4 Pb 2.94
Os  0.5000  0.5000  0.5000  8 Pb 4.09, 4 Cd 4.16



Entry 10:
La2CdP at its PBEsol-relaxed geometry. Source: Alexandria via LeMat-Bulk, functional meta-GGA SCAN.

Total moment (μB/cell): 0.49
E_form (eV per formula unit): -1.56
DFT total energy (eV/cell): -128.586
E above lowest polymorph (meV per atom): 606
Calculated volume (Å³/atom): 27.72
Density of states at the Fermi level (states/eV per cell): 3.3

a b c (Å): 3.5911 3.5911 8.7561
angles (deg): 90.00 90.00 100.87
Last column: nearest neighbours and their distance in Å.
Fractional positions:
P  0.0000  0.0000  0.4820  2 Cd 2.78, 2 La 2.83
La  0.5000  0.5000  0.6714  2 P 2.83
La  0.0000  0.0000  0.0452  4 Cd 3.20-3.56
Cd  0.5000  0.5000  0.3013  2 P 2.78



Entry 11:
La2CdP at its PBEsol-relaxed geometry. Source: Alexandria via LeMat-Bulk, functional meta-GGA SCAN.

Total moment (μB/cell): 0.00
E_form (eV per formula unit): -0.37
DFT total energy (eV/cell): -127.394
E above lowest polymorph (meV per atom): 904
Calculated volume (Å³/atom): 24.04
Density of states at the Fermi level (states/eV per cell): 3.9

a b c (Å): 5.1425 5.1425 5.1425
angles (deg): 60.00 60.00 60.00
Last column: nearest neighbours and their distance in Å.
Fractional positions:
La  0.0000  0.0000  0.0000  4 P 3.15, 4 La 3.15
La  0.7500  0.7500  0.7500  4 Cd 3.15, 4 La 3.15
Cd  0.5000  0.5000  0.5000  4 La 3.15, 4 P 3.15
P  0.2500  0.2500  0.2500  4 La 3.15, 4 Cd 3.15



Entry 12:
La2CdP at its PBEsol-relaxed geometry. Source: Alexandria via LeMat-Bulk, functional meta-GGA SCAN.

Total moment (μB/cell): 0.00
E_form (eV per formula unit): -2.97
DFT total energy (eV/cell): -129.993
E above lowest polymorph (meV per atom): 255
Calculated volume (Å³/atom): 24.94
Density of states at the Fermi level (states/eV per cell): 2.1

a b c (Å): 3.8574 4.8648 6.1569
angles (deg): 113.27 108.26 90.00
Last column: nearest neighbours and their distance in Å.
Fractional positions:
P  0.5131  0.5131  0.0261  2 Cd 2.82, 6 La 3.11-3.13
La  0.7811  0.2811  0.5621  2 P 3.13, 4 Cd 3.20, 2 La 3.36
La  0.9992  0.9992  0.9984  4 P 3.11, 2 Cd 3.28, 2 La 3.36
Cd  0.2067  0.7067  0.4133  2 P 2.82



Entry 13:
La2CdP at its PBEsol-relaxed geometry. Source: Alexandria via LeMat-Bulk, functional meta-GGA SCAN.

Total moment (μB/cell): 0.18
E_form (eV per formula unit): -3.99
DFT total energy (eV/cell): -131.011
E above lowest polymorph (meV per atom): 0
Calculated volume (Å³/atom): 29.56
Density of states at the Fermi level (states/eV per cell): 4.5

a b c (Å): 4.1509 4.1509 8.2776
angles (deg): 75.48 75.48 60.00
Last column: nearest neighbours and their distance in Å.
Fractional positions:
Cd  0.5000  0.5000  0.5000  6 La 3.34
La  0.2643  0.2643  0.2071  3 P 2.90
La  0.7357  0.7357  0.7929  3 P 2.90
P  0.0000  0.0000  0.0000  6 La 2.90



Entry 14:
La2Cd2P at its PBEsol-relaxed geometry. Source: Alexandria via LeMat-Bulk, functional meta-GGA SCAN.

Total moment (μB/cell): 0.55
E_form (eV per formula unit): -3.09
DFT total energy (eV/cell): -160.530
Calculated volume (Å³/atom): 26.33
Density of states at the Fermi level (states/eV per cell): 3.7

a b c (Å): 3.8390 3.8390 9.3365
angles (deg): 101.86 101.86 90.00
Last column: nearest neighbours and their distance in Å.
Fractional positions:
La  0.4126  0.4126  0.8253  1 La 3.12, 4 P 3.13, 4 Cd 3.48
La  0.5874  0.5874  0.1747  1 La 3.12, 4 P 3.13, 4 Cd 3.48
Cd  0.7500  0.2500  0.5000  4 Cd 2.71
Cd  0.2500  0.7500  0.5000  4 Cd 2.71
P  0.0000  0.0000  0.0000  8 La 3.13



Entry 15:
LaCd4P at its PBEsol-relaxed geometry. Source: Alexandria via LeMat-Bulk, functional meta-GGA SCAN.

Total moment (μB/cell): 0.00
E_form (eV per formula unit): -0.04
DFT total energy (eV/cell): -175.202
Calculated volume (Å³/atom): 22.88
Density of states at the Fermi level (states/eV per cell): 2.8

a b c (Å): 5.7905 5.7905 5.7905
angles (deg): 60.00 60.00 60.00
Last column: nearest neighbours and their distance in Å.
Fractional positions:
Cd  0.3742  0.8773  0.3742  6 Cd 2.88-2.91
Cd  0.3742  0.3742  0.8773  6 Cd 2.88-2.91
Cd  0.3742  0.3742  0.3742  6 Cd 2.88-2.91
Cd  0.8773  0.3742  0.3742  6 Cd 2.88-2.91
La  0.7500  0.7500  0.7500  12 Cd 3.40, 4 P 3.55
P  0.0000  0.0000  0.0000  12 Cd 3.39, 4 La 3.55



Entry 16:
LaCdP2S at its PBEsol-relaxed geometry. Source: Alexandria via LeMat-Bulk, functional meta-GGA SCAN.

Total moment (μB/cell): 1.49
DFT total energy (eV/cell): -101.541
Calculated volume (Å³/atom): 30.85
Density of states at the Fermi level (states/eV per cell): 4.0

a b c (Å): 5.3084 5.3906 5.3906
angles (deg): 90.00 90.00 90.00
Last column: nearest neighbours and their distance in Å.
Fractional positions:
La  0.0000  0.0000  0.0000  2 S 2.65, 4 P 2.70
P  0.0000  0.0000  0.5000  2 La 2.70
P  0.0000  0.5000  0.0000  2 La 2.70
S  0.5000  0.0000  0.0000  2 La 2.65
Cd  0.5000  0.5000  0.5000  8 P 3.78, 4 S 3.81



Entry 17:
LaCdPb2 at its PBEsol-relaxed geometry. Source: Alexandria via LeMat-Bulk, functional meta-GGA SCAN.

Total moment (μB/cell): 0.49
E_form (eV per formula unit): -1.34
DFT total energy (eV/cell): -226.422
Calculated volume (Å³/atom): 28.17
Density of states at the Fermi level (states/eV per cell): 2.7

a b c (Å): 3.9788 3.9788 7.1175
angles (deg): 90.00 90.00 90.00
Last column: nearest neighbours and their distance in Å.
Fractional positions:
Pb  0.0000  0.0000  0.0238  1 Cd 3.21, 4 Pb 3.26, 4 La 3.44
Pb  0.5000  0.5000  0.2565  4 Cd 3.21, 4 Pb 3.26, 1 La 3.48
La  0.5000  0.5000  0.7451  4 Cd 3.41, 6 Pb 3.44-3.64
Cd  0.0000  0.0000  0.4745  5 Pb 3.21, 4 La 3.41



Entry 18:
LaCdPb3 at its PBEsol-relaxed geometry. Source: Alexandria via LeMat-Bulk, functional meta-GGA SCAN.

Total moment (μB/cell): 0.00
E_form (eV per formula unit): 2.88
DFT total energy (eV/cell): -297.981
Calculated volume (Å³/atom): 43.85
Density of states at the Fermi level (states/eV per cell): 6.4

a b c (Å): 6.0298 6.0298 6.0298
angles (deg): 90.00 90.00 90.00
Last column: nearest neighbours and their distance in Å.
Fractional positions:
Pb  0.0000  0.5000  0.0000  2 La 3.01
Pb  0.5000  0.0000  0.0000  2 La 3.01
Pb  0.0000  0.0000  0.5000  2 La 3.01
Cd  0.5000  0.5000  0.5000  12 Pb 4.26
La  0.0000  0.0000  0.0000  6 Pb 3.01



Entry 19:
LaCd3Pb at its PBEsol-relaxed geometry. Source: Alexandria via LeMat-Bulk, functional meta-GGA SCAN.

Total moment (μB/cell): 1.25
E_form (eV per formula unit): 4.08
DFT total energy (eV/cell): -206.051
Calculated volume (Å³/atom): 38.40
Density of states at the Fermi level (states/eV per cell): 5.0

a b c (Å): 5.7690 5.7690 5.7690
angles (deg): 90.00 90.00 90.00
Last column: nearest neighbours and their distance in Å.
Fractional positions:
Cd  0.0000  0.5000  0.0000  2 La 2.88
Cd  0.0000  0.0000  0.5000  2 La 2.88
Cd  0.5000  0.0000  0.0000  2 La 2.88
La  0.0000  0.0000  0.0000  6 Cd 2.88
Pb  0.5000  0.5000  0.5000  12 Cd 4.08



Entry 20:
LaCdPb2 at its PBEsol-relaxed geometry. Source: Alexandria via LeMat-Bulk, functional meta-GGA SCAN.

Total moment (μB/cell): 0.00
E_form (eV per formula unit): -1.86
DFT total energy (eV/cell): -226.942
Calculated volume (Å³/atom): 27.82
Density of states at the Fermi level (states/eV per cell): 1.9

a b c (Å): 4.6642 4.6642 6.0866
angles (deg): 112.53 112.53 90.00
Last column: nearest neighbours and their distance in Å.
Fractional positions:
Pb  0.7500  0.2500  0.5000  4 Pb 3.30, 4 Cd 3.46, 4 La 3.46
Pb  0.2500  0.7500  0.5000  4 Pb 3.30, 4 Cd 3.46, 4 La 3.46
Cd  0.0000  0.0000  0.0000  4 La 3.30, 8 Pb 3.46
La  0.5000  0.5000  0.0000  4 Cd 3.30, 8 Pb 3.46